(1)
# CoRe2Si

CoRe2Si after structural relaxation (PBE, Alexandria).

Calculated values
- raw formation energy (meV per atom) = 93
- theoretical density (kg/m3) = 14367
- total moment (μB/f.u.) = 0.566

a b c (Å): 5.0944 7.5008 2.7793
angles (deg): 90.00 90.17 90.00
Closest atoms and distances in Å follow each position.
Space group C2/m (No. 12)
Unique sites:
Co 0.0000 0.0000 0.0000 (multiplicity 2)  2 Si 2.55, 8 Re 2.66, 2 Co 2.78
Re 0.2500 0.2500 0.5000 (multiplicity 4)  4 Re 2.55-2.78, 4 Co 2.66, 4 Si 2.66
Si 0.0000 0.5000 0.0000 (multiplicity 2)  2 Co 2.55, 8 Re 2.66, 2 Si 2.78

---

(2)
# MnInP

MnInP after structural relaxation (PBE, Alexandria).

Calculated values
- energy of formation (eV per atom) = 0.0134
- theoretical density (kg/m3) = 6704
- total moment (μB/f.u.) = 1.306

a b c (Å): 3.0997 3.0997 5.9753
angles (deg): 90.00 90.00 120.00
Closest atoms and distances in Å follow each position.
Space group P3m1 (No. 156)
Unique sites:
Mn 0.0000 0.0000 0.0000 (multiplicity 1)  3 P 2.25
In 0.3333 0.6667 0.6407 (multiplicity 1)  3 Mn 2.79, 3 P 3.05, 6 In 3.10
P 0.6667 0.3333 0.2282 (multiplicity 1)  3 Mn 2.25

---

(3)
# Tm6GaOs2

Tm6GaOs2 after structural relaxation (PBE, Alexandria).

Calculated values
- energy of formation (eV per atom) = -0.3579
- theoretical density (kg/m3) = 11074
- total moment (μB/f.u.) = 0.000

a b c (Å): 9.2290 9.2515 10.2831
angles (deg): 90.00 90.00 90.00
Closest atoms and distances in Å follow each position.
Space group Immm (No. 71)
Unique sites:
Tm 0.0000 0.1881 0.1665 (multiplicity 8)  3 Os 2.76-2.93
Tm 0.1806 0.2223 0.5000 (multiplicity 8)  3 Os 2.89-2.94, 1 Ga 3.06
Tm 0.2007 0.5000 0.2546 (multiplicity 8)  2 Os 2.77-3.07
Ga 0.0000 0.5000 0.0000 (multiplicity 2)  8 Tm 3.21-3.35
Ga 0.0000 0.5000 0.5000 (multiplicity 2)  2 Os 3.00, 8 Tm 3.06-3.13
Os 0.0000 0.0000 0.3754 (multiplicity 4)  1 Os 2.56, 2 Tm 2.76
Os 0.1754 0.0000 0.0000 (multiplicity 4)  8 Tm 2.77-2.93, 1 Ga 3.00

---

(4)
# PmScAgPd

PmScAgPd after structural relaxation (PBE, Alexandria).

Calculated values
- energy of formation (eV per atom) = -0.4969
- theoretical density (kg/m3) = 7628
- total moment (μB/f.u.) = 0.000

a b c (Å): 7.0608 7.0608 7.0608
angles (deg): 90.00 90.00 90.00
Closest atoms and distances in Å follow each position.
Space group F-43m (No. 216)
Unique sites:
Pm 0.0000 0.0000 0.0000 (multiplicity 4)  4 Ag 3.06, 4 Pd 3.06
Sc 0.0000 0.0000 0.5000 (multiplicity 4)  4 Pd 3.06, 4 Ag 3.06
Ag 0.2500 0.2500 0.2500 (multiplicity 4)  4 Sc 3.06, 4 Pm 3.06
Pd 0.2500 0.2500 0.7500 (multiplicity 4)  4 Pm 3.06, 4 Sc 3.06

---

(5)
# KHg2Ru

KHg2Ru after structural relaxation (PBE, Alexandria).

Calculated values
- excess energy over the best structure of this formula in the dataset (meV/atom) = 273
- energy of formation (eV per atom) = 0.6538
- theoretical density (kg/m3) = 9892
- total moment (μB/f.u.) = 0.125

a b c (Å): 7.1368 7.1368 7.1368
angles (deg): 90.00 90.00 90.00
Closest atoms and distances in Å follow each position.
Space group Fm-3m (No. 225)
Unique sites:
K 0.0000 0.0000 0.0000 (multiplicity 4)  8 Hg 3.09
Hg 0.2500 0.2500 0.2500 (multiplicity 8)  4 Ru 3.09, 4 K 3.09
Ru 0.0000 0.0000 0.5000 (multiplicity 4)  8 Hg 3.09

---

(6)
# VCuGePt

VCuGePt after structural relaxation (PBE, Alexandria).

Calculated values
- energy of formation (eV per atom) = -0.1997
- theoretical density (kg/m3) = 11134
- total moment (μB/f.u.) = 2.289

a b c (Å): 6.1093 6.1093 6.1093
angles (deg): 90.00 90.00 90.00
Closest atoms and distances in Å follow each position.
Space group F-43m (No. 216)
Unique sites:
V 0.0000 0.0000 0.0000 (multiplicity 4)  4 Ge 2.65, 4 Cu 2.65
Cu 0.2500 0.2500 0.2500 (multiplicity 4)  4 Pt 2.65, 4 V 2.65
Ge 0.2500 0.2500 0.7500 (multiplicity 4)  4 Pt 2.65, 4 V 2.65
Pt 0.0000 0.0000 0.5000 (multiplicity 4)  4 Cu 2.65, 4 Ge 2.65

---

(7)
# Dy6C2N

Dy6C2N after structural relaxation (PBE, Alexandria).

Calculated values
- raw formation energy (meV per atom) = -555
- theoretical density (kg/m3) = 8431
- total moment (μB/f.u.) = 1.294

a b c (Å): 15.9067 3.5587 7.3272
angles (deg): 90.00 105.82 90.00
Closest atoms and distances in Å follow each position.
Space group C2/m (No. 12)
Unique sites:
Dy 0.0058 0.0000 0.2321 (multiplicity 4)  1 C 2.43, 2 N 2.45
Dy 0.1590 0.5000 0.0961 (multiplicity 4)  1 N 2.43, 2 C 2.45
Dy 0.1721 0.5000 0.5676 (multiplicity 4)  3 C 2.47-2.50
C 0.1644 0.0000 0.3290 (multiplicity 4)  6 Dy 2.43-2.50
N 0.0000 0.5000 0.0000 (multiplicity 2)  6 Dy 2.43-2.45

---

(8)
# MnAgHg2Cl8

MnAgHg2Cl8 after structural relaxation (PBE, Alexandria).

Calculated values
- raw formation energy (meV per atom) = -677
- theoretical density (kg/m3) = 4089
- total moment (μB/f.u.) = 4.010

a b c (Å): 6.5362 6.8975 7.8600
angles (deg): 90.64 103.38 92.94
Closest atoms and distances in Å follow each position.
Space group P-1 (No. 2)
Unique sites:
Mn 0.0000 0.0000 0.0000 (multiplicity 1)  4 Cl 2.27-2.28
Ag 0.0000 0.0000 0.5000 (multiplicity 1)  4 Cl 2.60-2.90
Hg 0.4710 0.5164 0.2441 (multiplicity 2)  2 Cl 2.36-2.37
Cl 0.1794 0.8805 0.8084 (multiplicity 2)  1 Mn 2.28
Cl 0.2363 0.8842 0.2302 (multiplicity 2)  1 Mn 2.27
Cl 0.2387 0.3573 0.0016 (multiplicity 2)  1 Hg 2.36
Cl 0.2589 0.3575 0.5198 (multiplicity 2)  1 Hg 2.37

---

(9)
# Sm4Dy4Er

Sm4Dy4Er after structural relaxation (PBE, Alexandria).

Calculated values
- excess energy over the best structure of this formula in the dataset (meV/atom) = 90
- energy of formation (eV per atom) = 0.1066
- theoretical density (kg/m3) = 8009
- total moment (μB/f.u.) = 0.000

a b c (Å): 16.7652 5.5722 6.8297
angles (deg): 90.00 112.78 90.00
Closest atoms and distances in Å follow each position.
Space group C2/m (No. 12)
Unique sites:
Sm 0.1325 0.0000 0.4622 (multiplicity 4)  5 Dy 3.33-3.71, 3 Sm 3.51-3.53, 2 Er 3.63
Sm 0.2185 0.5000 0.7879 (multiplicity 4)  4 Dy 3.35-3.74, 1 Er 3.42, 3 Sm 3.51-3.53
Dy 0.0733 0.0000 0.8793 (multiplicity 4)  4 Sm 3.33-3.71, 3 Dy 3.39-3.45, 2 Er 3.68
Dy 0.1290 0.5000 0.1866 (multiplicity 4)  5 Sm 3.35-3.74, 2 Dy 3.39, 1 Er 3.58
Er 0.0000 0.5000 0.5000 (multiplicity 2)  6 Sm 3.42-3.63, 6 Dy 3.58-3.68

---

(10)
# Ho3Tm3Ru2Rh

Ho3Tm3Ru2Rh after structural relaxation (PBE, Alexandria).

Calculated values
- energy of formation (eV per atom) = -0.4357
- theoretical density (kg/m3) = 10344
- total moment (μB/f.u.) = 0.000

a b c (Å): 7.4722 7.4722 4.3382
angles (deg): 90.00 90.00 120.00
Closest atoms and distances in Å follow each position.
Space group P-62m (No. 189)
Unique sites:
Ho 0.0000 0.7403 0.0000 (multiplicity 3)  2 Ru 2.81, 2 Rh 2.91
Tm 0.0000 0.4125 0.5000 (multiplicity 3)  1 Rh 3.08, 4 Ru 3.13, 2 Ho 3.27
Ru 0.3333 0.6667 0.0000 (multiplicity 2)  3 Ho 2.81, 6 Tm 3.13
Rh 0.0000 0.0000 0.5000 (multiplicity 1)  6 Ho 2.91, 3 Tm 3.08

---

(11)
# Ta3TlCd

Ta3TlCd after structural relaxation (PBE, Alexandria).

Calculated values
- excess energy over the best structure of this formula in the dataset (meV/atom) = 0
- energy of formation (eV per atom) = 2.0303
- theoretical density (kg/m3) = 11531
- total moment (μB/f.u.) = 0.000

a b c (Å): 4.9839 4.9839 4.9839
angles (deg): 90.00 90.00 90.00
Closest atoms and distances in Å follow each position.
Space group Pm-3m (No. 221)
Unique sites:
Ta 0.0000 0.0000 0.5000 (multiplicity 3)  2 Cd 2.49
Tl 0.5000 0.5000 0.5000 (multiplicity 1)  12 Ta 3.52
Cd 0.0000 0.0000 0.0000 (multiplicity 1)  6 Ta 2.49

---

(12)
# Mo2SeCl

Mo2SeCl after structural relaxation (PBE, Alexandria).

Calculated values
- raw formation energy (meV per atom) = 375
- excess energy over the best structure of this formula in the dataset (meV/atom) = 568
- theoretical density (kg/m3) = 7625
- total moment (μB/f.u.) = 0.011

a b c (Å): 3.0603 4.0794 10.6857
angles (deg): 90.00 90.00 90.00
Closest atoms and distances in Å follow each position.
Space group Imm2 (No. 44)
Unique sites:
Mo 0.0000 0.0000 0.0000 (multiplicity 2)  4 Cl 2.57, 2 Se 2.66, 2 Mo 2.83
Mo 0.0000 0.5000 0.2776 (multiplicity 2)  4 Se 2.67, 2 Mo 2.83, 2 Cl 2.88
Se 0.0000 0.5000 0.7035 (multiplicity 2)  6 Mo 2.66-2.67
Cl 0.0000 0.0000 0.4681 (multiplicity 2)  4 Mo 2.57

---

Question: Which value of total moment does entry 10 give?
Answer: 0.000 μB/f.u.